CeNp5N6 | PBE | optimized geometry

Results
**E**: -134.640 eV/cell
**Space group**: C2/m, No. 12
**E_form (uncorrected)**: -1171 meV per atom

Unit cell a=6.0089 b=6.0089 c=6.0085 alpha=99.59 beta=99.59 gamma=119.99
Fractional coordinates of all 12 atoms:
Ce: 0.0000 0.0000 0.0000
Np: 0.1645 0.8355 0.5000
Np: 0.3326 0.6674 0.0000
Np: 0.5000 0.5000 0.5000
Np: 0.6674 0.3326 0.0000
Np: 0.8355 0.1645 0.5000
N: 0.0865 0.4323 0.2588
N: 0.2616 0.2616 0.7446
N: 0.4323 0.0865 0.2588
N: 0.5677 0.9135 0.7412
N: 0.7384 0.7384 0.2554
N: 0.9135 0.5677 0.7412

---

CeNp4N5 | PBE | optimized geometry

Results
**E**: -111.109 eV/cell
**Space group**: I4/m, No. 87
**E_form (uncorrected)**: -1178 meV per atom

Unit cell a=6.0129 b=6.0129 c=6.0129 alpha=99.66 beta=99.66 gamma=131.64
Fractional coordinates of all 10 atoms:
Ce: 0.0000 0.0000 0.0000
Np: 0.2007 0.3982 0.5989
Np: 0.3982 0.7993 0.1974
Np: 0.6018 0.2007 0.8026
Np: 0.7993 0.6018 0.4011
N: 0.1033 0.6885 0.7917
N: 0.3115 0.1033 0.4148
N: 0.5000 0.5000 0.0000
N: 0.6885 0.8967 0.5852
N: 0.8967 0.3115 0.2083

---

Ce6NpN8 | PBE | optimized geometry

Results
**E**: -134.983 eV/cell
**Space group**: Fm-3m, No. 225
**E_form (uncorrected)**: -1322 meV per atom

Unit cell a=7.1100 b=7.1100 c=7.1100 alpha=60.00 beta=60.00 gamma=60.00
Fractional coordinates of all 15 atoms:
Ce: 0.0000 0.0000 0.5000
Ce: 0.0000 0.5000 0.0000
Ce: 0.0000 0.5000 0.5000
Ce: 0.5000 0.0000 0.0000
Ce: 0.5000 0.0000 0.5000
Ce: 0.5000 0.5000 0.0000
Np: 0.0000 0.0000 0.0000
N: 0.2155 0.2155 0.7845
N: 0.2155 0.7845 0.2155
N: 0.2155 0.7845 0.7845
N: 0.2500 0.2500 0.2500
N: 0.7500 0.7500 0.7500
N: 0.7845 0.2155 0.2155
N: 0.7845 0.2155 0.7845
N: 0.7845 0.7845 0.2155

---

CeNp3N4 | PBE | optimized geometry

Results
**E**: -175.357 eV/cell
**Space group**: P2/c, No. 13
**E_form (uncorrected)**: -1203 meV per atom

Unit cell a=6.0261 b=6.9676 c=6.0158 alpha=90.00 beta=109.47 gamma=90.00
Fractional coordinates of all 16 atoms:
Ce: 0.0000 0.1245 0.2500
Ce: 0.0000 0.8755 0.7500
Np: 0.0000 0.3765 0.7500
Np: 0.0000 0.6235 0.2500
Np: 0.5000 0.1266 0.7500
Np: 0.5000 0.3751 0.2500
Np: 0.5000 0.6249 0.7500
Np: 0.5000 0.8734 0.2500
N: 0.2570 0.3826 0.5076
N: 0.2570 0.6174 0.0076
N: 0.2673 0.1323 0.0000
N: 0.2673 0.8677 0.5000
N: 0.7327 0.1323 0.5000
N: 0.7327 0.8677 0.0000
N: 0.7430 0.3826 0.9924
N: 0.7430 0.6174 0.4924

---

Ce2Np3N8 | PBE | optimized geometry

Results
**E**: -131.515 eV/cell
**Space group**: P2/m, No. 10
**E_form (uncorrected)**: -1094 meV per atom

Unit cell a=6.4402 b=3.6525 c=9.0562 alpha=90.00 beta=108.83 gamma=90.00
Fractional coordinates of all 13 atoms:
Ce: 0.2491 0.0000 0.3136
Ce: 0.7509 0.0000 0.6864
Np: 0.2437 0.5000 0.6661
Np: 0.5000 0.0000 0.0000
Np: 0.7563 0.5000 0.3339
N: 0.1056 0.5000 0.3931
N: 0.2024 0.0000 0.8193
N: 0.3672 0.0000 0.5844
N: 0.4427 0.5000 0.1526
N: 0.5573 0.5000 0.8474
N: 0.6328 0.0000 0.4156
N: 0.7976 0.0000 0.1807
N: 0.8944 0.5000 0.6069

---

Ce4NpN5 | PBE | optimized geometry

Results
**E**: -92.407 eV/cell
**Space group**: I4/mmm, No. 139
**E_form (uncorrected)**: -1410 meV per atom

Unit cell a=12.7939 b=12.7939 c=12.7939 alpha=164.07 beta=164.07 gamma=22.61
Fractional coordinates of all 10 atoms:
Ce: 0.0995 0.0995 0.0000
Ce: 0.3003 0.3003 0.0000
Ce: 0.6997 0.6997 0.0000
Ce: 0.9005 0.9005 0.0000
Np: 0.5000 0.5000 0.0000
N: 0.0000 0.0000 0.0000
N: 0.1999 0.1999 0.0000
N: 0.4036 0.4036 0.0000
N: 0.5964 0.5964 0.0000
N: 0.8001 0.8001 0.0000